(1)
Entry from the Alexandria database: a PBEsol-optimized structure of CdGeO3 (SCAN).

Results
The space-group type is Cmc2_1, No. 36. Its electronic total energy is -151.2 eV per cell. As for the density: 5.14 Mg/m³.

Geometry as POSCAR:
```
CdGeO3
1.0
-0.742 -3.710 3.518
5.149 0.299 1.401
1.340 3.933 4.430
Cd Ge O
2 2 6
Cartesian
1.436 2.111 4.468
4.304 -1.631 4.920
2.199 -0.559 2.232
3.459 0.630 7.544
1.329 0.002 0.657
3.679 0.139 1.296
1.758 0.231 3.684
2.366 1.872 6.641
4.716 2.009 7.280
3.760 -0.856 6.753
```


(2)
Entry from the Alexandria database: a PBEsol-optimized structure of SrZnCu2 (SCAN).

Results
The space-group type is Cm, No. 8. The calculation puts the formation energy at -0.157 eV per atom. Its electronic total energy is -66.8 eV per cell. As for the density: 5.80 Mg/m³.

Geometry as POSCAR:
```
SrZnCu2
1.0
4.207 0.000 0.000
-2.103 3.636 -0.089
0.000 -2.328 5.303
Sr Zn Cu
1 1 2
Cartesian
0.000 2.472 2.541
0.000 0.088 4.833
0.000 0.002 0.061
2.103 1.219 0.342
```


(3)
Entry from the Alexandria database: a PBEsol-optimized structure of Sr3Mo (SCAN).

Results
Its energy above the most stable polymorph in this dataset is 0 meV per atom. The space-group type is Pm-3m, No. 221. The calculation puts the formation energy at 0.845 eV per atom. Its electronic total energy is -98.3 eV per cell. As for the density: 4.13 Mg/m³.

Geometry as POSCAR:
```
Sr3Mo
1.0
-1.297 -4.542 -2.277
-0.559 -2.208 4.723
-5.050 1.412 0.062
Mo Sr
1 3
Cartesian
0.000 0.000 0.000
-2.805 -0.398 2.393
-3.174 -1.565 -1.107
-0.928 -3.375 1.223
```


(4)
Entry from the Alexandria database: a PBEsol-optimized structure of LiCu2Sn (SCAN).

Results
The space-group type is P6_3/mmc, No. 194. The calculation puts the formation energy at -0.220 eV per atom. Its electronic total energy is -139.2 eV per cell. As for the density: 7.16 Mg/m³.

Geometry as POSCAR:
```
LiCu2Sn
1.0
-3.460 2.320 0.702
-0.144 -4.197 0.453
1.961 0.719 7.288
Li Cu Sn
2 4 2
Cartesian
0.000 0.000 0.000
0.980 0.360 3.644
-2.179 0.212 1.270
-0.094 -1.601 4.831
-1.549 0.443 3.612
0.537 -1.370 7.174
-0.884 0.687 6.085
-0.759 -1.845 2.358
```